A plane-wave DFT calculation with GGA-PBE was carried out for NbVGe3 after structural relaxation.

Summary:
As for the final energy: -29.36 eV/cell. The distance to the lowest polymorph of the same formula comes out at 0.0 meV/atom. For the total moment, the calculation gives 2.59 μB/cell. The value obtained for the density of states at the Fermi level is 1.165 states/eV/atom.

```
NbVGe3
1.0
4.669 0.000 0.000
0.000 4.669 0.000
0.000 0.000 4.669
Ge Nb V
3 1 1
direct
0.000 0.500 0.000
0.500 0.000 0.000
0.000 0.000 0.500
0.500 0.500 0.500
0.000 0.000 0.000
```